(1)
SrReIr: optimized geometry, GGA-PBE. Values from VASP.

**D(E_F)**: 2.90 states/eV/cell
**Energy of formation**: 50 meV/atom

```
&SYSTEM
  ibrav = 0, nat = 6, ntyp = 3
/
ATOMIC_SPECIES
Re 186.21 Re.upf
Ir 192.22 Ir.upf
Sr 87.62 Sr.upf
ATOMIC_POSITIONS crystal
Re 0.856 0.890 0.289
Ir 0.354 0.954 0.137
Re 0.418 0.452 0.289
Sr 0.895 0.413 0.941
Ir 0.919 0.388 0.442
Sr 0.379 0.929 0.637
CELL_PARAMETERS angstrom
-0.739 0.749 4.454
-3.093 -3.300 -0.697
4.825 -4.826 1.644
```

(2)
Pm2Nb2O7: optimized geometry, GGA-PBE. Values from VASP.

**D(E_F)**: 10.06 states/eV/cell
**Energy relative to the elements, uncorrected**: -2.8969 eV per atom

```
&SYSTEM
  ibrav = 0, nat = 22, ntyp = 3
/
ATOMIC_SPECIES
O 16.00 O.upf
Nb 92.91 Nb.upf
Pm 145.00 Pm.upf
ATOMIC_POSITIONS crystal
O 0.212 0.788 0.788
O 0.462 0.462 0.038
Nb 0.125 0.625 0.125
Nb 0.625 0.125 0.125
Pm 0.125 0.625 0.625
O 0.038 0.462 0.038
O 0.788 0.212 0.788
Nb 0.125 0.125 0.125
O 0.788 0.212 0.212
O 0.788 0.788 0.212
Pm 0.625 0.625 0.125
O 0.038 0.462 0.462
O 0.212 0.212 0.788
O 0.500 0.500 0.500
O 0.212 0.788 0.212
Pm 0.625 0.625 0.625
O 0.750 0.750 0.750
Pm 0.625 0.125 0.625
Nb 0.125 0.125 0.625
O 0.462 0.038 0.462
O 0.038 0.038 0.462
O 0.462 0.038 0.038
CELL_PARAMETERS angstrom
-3.202 -0.400 6.759
-3.090 -6.421 2.306
3.250 -3.973 5.455
```

(3)
LiAl2Ni: optimized geometry, GGA-PBE. Values from VASP.

**D(E_F)**: 2.11 states/eV/cell
**Energy of formation**: -253 meV/atom

```
&SYSTEM
  ibrav = 0, nat = 4, ntyp = 3
/
ATOMIC_SPECIES
Li 6.94 Li.upf
Al 26.98 Al.upf
Ni 58.69 Ni.upf
ATOMIC_POSITIONS crystal
Li 0.490 0.490 0.531
Al 0.049 0.049 0.852
Al 0.277 0.277 0.170
Ni 0.684 0.684 0.948
CELL_PARAMETERS angstrom
4.091 0.000 0.000
2.045 3.543 0.000
2.045 1.181 4.288
```

(4)
Th2Zn2Au: optimized geometry, GGA-PBE. Values from VASP.

**D(E_F)**: 19.29 states/eV/cell
**Energy of formation**: -348 meV/atom

```
&SYSTEM
  ibrav = 0, nat = 20, ntyp = 3
/
ATOMIC_SPECIES
Au 196.97 Au.upf
Zn 65.41 Zn.upf
Th 232.04 Th.upf
ATOMIC_POSITIONS crystal
Au 0.000 0.000 0.750
Zn 0.130 0.370 0.750
Th 0.173 0.673 0.500
Zn 0.370 0.870 0.250
Th 0.827 0.327 0.500
Zn 0.130 0.370 0.250
Au 0.000 0.000 0.250
Zn 0.630 0.130 0.750
Au 0.500 0.500 0.250
Th 0.173 0.673 0.000
Au 0.500 0.500 0.750
Th 0.327 0.173 0.000
Th 0.673 0.827 0.500
Zn 0.370 0.870 0.750
Th 0.673 0.827 0.000
Zn 0.870 0.630 0.250
Zn 0.870 0.630 0.750
Zn 0.630 0.130 0.250
Th 0.827 0.327 0.000
Th 0.327 0.173 0.500
CELL_PARAMETERS angstrom
7.054 0.000 0.000
0.000 7.054 0.000
0.000 0.000 9.256
```

(5)
Na3ScO: optimized geometry, GGA-PBE. Values from VASP.

**D(E_F)**: 1.63 states/eV/cell
**Energy relative to the elements, uncorrected**: -0.1350 eV per atom

```
&SYSTEM
  ibrav = 0, nat = 5, ntyp = 3
/
ATOMIC_SPECIES
Na 22.99 Na.upf
O 16.00 O.upf
Sc 44.96 Sc.upf
ATOMIC_POSITIONS crystal
Na 0.000 0.500 0.000
O 0.000 0.000 0.000
Na 0.000 0.000 0.500
Sc 0.500 0.500 0.500
Na 0.500 0.000 0.000
CELL_PARAMETERS angstrom
-3.282 -0.585 -3.510
3.549 -0.890 -3.170
-0.262 -4.722 1.032
```

(6)
Al2TlAgSe4: optimized geometry, GGA-PBE. Values from VASP.

**Energy relative to the elements, uncorrected**: -0.5570 eV per atom

```
&SYSTEM
  ibrav = 0, nat = 8, ntyp = 4
/
ATOMIC_SPECIES
Se 78.96 Se.upf
Al 26.98 Al.upf
Ag 107.87 Ag.upf
Tl 204.38 Tl.upf
ATOMIC_POSITIONS crystal
Se 0.425 0.878 0.302
Al 0.750 0.250 0.500
Se 0.575 0.575 0.698
Al 0.250 0.750 0.500
Ag 0.500 0.500 0.000
Se 0.123 0.123 0.698
Se 0.878 0.425 0.302
Tl 0.000 0.000 0.000
CELL_PARAMETERS angstrom
5.631 0.234 0.000
-0.234 5.631 0.000
-2.699 -2.933 7.094
```

(7)
KLi2TlAu: optimized geometry, GGA-PBE. Values from VASP.

**D(E_F)**: 2.95 states/eV/cell
**Energy of formation**: -145 meV/atom

```
&SYSTEM
  ibrav = 0, nat = 5, ntyp = 4
/
ATOMIC_SPECIES
Au 196.97 Au.upf
Li 6.94 Li.upf
K 39.10 K.upf
Tl 204.38 Tl.upf
ATOMIC_POSITIONS crystal
Au 0.000 0.000 0.000
Li 0.500 0.000 0.000
K 0.500 0.500 0.500
Tl 0.000 0.000 0.500
Li 0.000 0.500 0.000
CELL_PARAMETERS angstrom
-2.646 -4.410 0.265
2.510 -1.246 4.321
-4.033 2.605 3.093
```

(8)
Fe2IrPdC: optimized geometry, GGA-PBE. Values from VASP.

**D(E_F)**: 5.37 states/eV/cell
**Energy of formation**: 149 meV/atom

```
&SYSTEM
  ibrav = 0, nat = 5, ntyp = 4
/
ATOMIC_SPECIES
Fe 55.84 Fe.upf
Ir 192.22 Ir.upf
Pd 106.42 Pd.upf
C 12.01 C.upf
ATOMIC_POSITIONS crystal
Fe 0.500 0.000 0.000
Fe 0.000 0.500 0.000
Ir 0.000 0.000 0.500
Pd 0.500 0.500 0.500
C 0.000 0.000 0.000
CELL_PARAMETERS angstrom
-0.176 0.433 3.917
2.723 -2.821 0.434
2.879 2.752 -0.175
```